{
  "formula": "FeReBiN2",
  "functional": "SCAN",
  "state": "PBEsol geometry",
  "dos_at_fermi_per_ev_cell": 3.79,
  "raw_formation_energy_mev_per_atom": 1807,
  "density_g_cm3": 10.6,
  "e_tot_ev_per_cell": -177.35,
  "lattice": [[3.7092, 0.0000, 0.0000], [0.0000, 3.7092, 0.0000], [0.0000, 0.0000, 5.4731]],
  "species": ["N", "N", "Bi", "Re", "Fe"],
  "frac_coords": [[0.0000, 0.5000, 0.0000], [0.5000, 0.0000, 0.0000], [0.0000, 0.0000, 0.5000], [0.5000, 0.5000, 0.5000], [0.0000, 0.0000, 0.0000]]
}

---

{
  "formula": "FeBiSe2N",
  "functional": "SCAN",
  "state": "PBEsol geometry",
  "dos_at_fermi_per_ev_cell": 3.31,
  "raw_formation_energy_mev_per_atom": 1360,
  "density_g_cm3": 6.0,
  "e_tot_ev_per_cell": -139.36,
  "lattice": [[4.1464, 0.0000, 0.0000], [0.0000, 5.4013, 0.0000], [0.0000, 0.0000, 5.4013]],
  "species": ["Bi", "Se", "Se", "Fe", "N"],
  "frac_coords": [[0.0000, 0.0000, 0.0000], [0.0000, 0.5000, 0.0000], [0.0000, 0.0000, 0.5000], [0.5000, 0.5000, 0.5000], [0.5000, 0.0000, 0.0000]]
}

---

{
  "formula": "FeBiTeN2",
  "functional": "SCAN",
  "state": "PBEsol geometry",
  "dos_at_fermi_per_ev_cell": 5.54,
  "raw_formation_energy_mev_per_atom": 1820,
  "density_g_cm3": 6.3,
  "e_tot_ev_per_cell": -143.44,
  "lattice": [[4.2046, 0.0000, 0.0000], [0.0000, 4.2046, 0.0000], [0.0000, 0.0000, 6.2688]],
  "species": ["Fe", "N", "N", "Bi", "Te"],
  "frac_coords": [[0.5000, 0.5000, 0.5000], [0.5000, 0.0000, 0.0000], [0.0000, 0.5000, 0.0000], [0.0000, 0.0000, 0.0000], [0.0000, 0.0000, 0.5000]]
}

---

{
  "formula": "NaFeBi3",
  "functional": "SCAN",
  "state": "PBEsol geometry",
  "ef_ev_per_atom": 1.123,
  "dos_at_fermi_per_ev_cell": 5.66,
  "density_g_cm3": 7.7,
  "e_tot_ev_per_cell": -252.47,
  "lattice": [[-4.3430, -3.0419, 0.6469], [3.0474, -4.3842, -0.1571], [0.6204, 0.2413, 5.3000]],
  "species": ["Bi", "Bi", "Bi", "Fe", "Na"],
  "frac_coords": [[0.5000, 0.0000, 0.0000], [0.0000, 0.5000, 0.0000], [0.0000, 0.0000, 0.5000], [0.5000, 0.5000, 0.5000], [0.0000, 0.0000, 0.0000]]
}

---

{
  "formula": "Na2FeReBi",
  "functional": "SCAN",
  "state": "PBEsol geometry",
  "ef_ev_per_atom": 1.167,
  "dos_at_fermi_per_ev_cell": 3.30,
  "density_g_cm3": 7.4,
  "e_tot_ev_per_cell": -170.40,
  "lattice": [[-0.7808, -3.2007, 2.8052], [4.9788, -0.4932, 0.8231], [-0.2891, 3.3763, 3.7718]],
  "species": ["Bi", "Re", "Fe", "Na", "Na"],
  "frac_coords": [[0.5000, 0.5000, 0.5000], [0.5000, 0.0000, 0.0000], [0.0000, 0.0000, 0.0000], [0.0000, 0.5000, 0.0000], [0.0000, 0.0000, 0.5000]]
}

---

{
  "formula": "Nb3FeBi6O18",
  "functional": "SCAN",
  "state": "PBEsol geometry",
  "dos_at_fermi_per_ev_cell": 0.00,
  "raw_formation_energy_mev_per_atom": -1843,
  "density_g_cm3": 8.2,
  "e_tot_ev_per_cell": -752.76,
  "lattice": [[-4.2275, -3.3688, -0.5557], [2.7018, -3.8442, 2.8297], [-2.9220, 6.1309, 11.0840]],
  "species": ["O", "O", "O", "O", "O", "O", "O", "O", "O", "O", "O", "O", "O", "O", "O", "O", "O", "O", "Nb", "Nb", "Nb", "Bi", "Bi", "Bi", "Bi", "Bi", "Bi", "Fe"],
  "frac_coords": [[0.8977, 0.5450, 0.8723], [0.3301, 0.3558, 0.9947], [0.6711, 0.8252, 0.6848], [0.5185, 0.6387, 0.1692], [0.2477, 0.5083, 0.5022], [0.4703, 0.1334, 0.8218], [0.0197, 0.5488, 0.1259], [0.6459, 0.1376, 0.1697], [0.0163, 0.3216, 0.6852], [0.9725, 0.8074, 0.3201], [0.3514, 0.6342, 0.8206], [0.9731, 0.0436, 0.8723], [0.2629, 0.0059, 0.5005], [0.7461, 0.5103, 0.4964], [0.6620, 0.8529, 0.9968], [0.3363, 0.3329, 0.3185], [0.7646, 0.0094, 0.4973], [0.0935, 0.0426, 0.1280], [0.1666, 0.3064, 0.8282], [0.8311, 0.8161, 0.1774], [0.6606, 0.8076, 0.8276], [0.9867, 0.2418, 0.3977], [0.7497, 0.2644, 0.0136], [0.5781, 0.2357, 0.5971], [0.4322, 0.7229, 0.3952], [0.0310, 0.7458, 0.5964], [0.2525, 0.7589, 0.0132], [0.3319, 0.3086, 0.1772]]
}